1.
# ZrCdS2N PBEsol optimized geometry
# Raw formation energy   0.68 eV/atom
data_ZrCdS2N
_chemical_formula_sum 'Zr1 Cd1 S2 N1'
_cell_length_a 4.827
_cell_length_b 4.827
_cell_length_c 4.005
_cell_angle_alpha 90.00
_cell_angle_beta 90.00
_cell_angle_gamma 90.00
_space_group_name_H-M_alt 'P 4/m m m'
_space_group_IT_number 123
_space_group_name_Hall '-P 4 2'
loop_
_atom_site_label
_atom_site_type_symbol
_atom_site_fract_x
_atom_site_fract_y
_atom_site_fract_z
Zr1 Zr 0.000 0.000 0.000
Cd1 Cd 0.500 0.500 0.500
S1 S 0.000 0.500 0.500
N1 N 0.500 0.500 0.000


2.
# ZrTaPb PBEsol optimized geometry
# Energy above the lowest structure with this stoichiometry   0.130 eV/atom
data_ZrTaPb
_chemical_formula_sum 'Zr2 Ta2 Pb2'
_cell_length_a 3.050
_cell_length_b 3.050
_cell_length_c 13.789
_cell_angle_alpha 90.00
_cell_angle_beta 90.00
_cell_angle_gamma 90.00
_space_group_name_H-M_alt 'I 4 m m'
_space_group_IT_number 107
_space_group_name_Hall 'I 4 -2'
loop_
_atom_site_label
_atom_site_type_symbol
_atom_site_fract_x
_atom_site_fract_y
_atom_site_fract_z
Zr1 Zr 0.000 0.000 0.000
Ta1 Ta 0.000 0.000 0.344
Pb1 Pb 0.000 0.000 0.678


3.
# LiTeAsBr2 PBEsol optimized geometry
# Raw formation energy   0.02 eV/atom
data_LiTeAsBr2
_chemical_formula_sum 'Li1 Te1 As1 Br2'
_cell_length_a 5.819
_cell_length_b 5.819
_cell_length_c 5.139
_cell_angle_alpha 90.00
_cell_angle_beta 90.00
_cell_angle_gamma 90.00
_space_group_name_H-M_alt 'P 4/m m m'
_space_group_IT_number 123
_space_group_name_Hall '-P 4 2'
loop_
_atom_site_label
_atom_site_type_symbol
_atom_site_fract_x
_atom_site_fract_y
_atom_site_fract_z
Li1 Li 0.000 0.000 0.000
Te1 Te 0.500 0.500 0.500
As1 As 0.500 0.500 0.000
Br1 Br 0.000 0.500 0.500


4.
# SnP2SO PBEsol optimized geometry
# Raw formation energy   0.66 eV/atom
# Energy above the lowest structure with this stoichiometry   0.407 eV/atom
data_SnP2SO
_chemical_formula_sum 'Sn1 P2 S1 O1'
_cell_length_a 5.044
_cell_length_b 5.044
_cell_length_c 3.836
_cell_angle_alpha 90.00
_cell_angle_beta 90.00
_cell_angle_gamma 90.00
_space_group_name_H-M_alt 'P 4/m m m'
_space_group_IT_number 123
_space_group_name_Hall '-P 4 2'
loop_
_atom_site_label
_atom_site_type_symbol
_atom_site_fract_x
_atom_site_fract_y
_atom_site_fract_z
Sn1 Sn 0.000 0.000 0.000
P1 P 0.000 0.500 0.000
S1 S 0.500 0.500 0.500
O1 O 0.000 0.000 0.500


5.
# Y5Co PBEsol optimized geometry
# Energy above the lowest structure with this stoichiometry   0.761 eV/atom
data_Y5Co
_chemical_formula_sum 'Y20 Co4'
_cell_length_a 8.790
_cell_length_b 8.790
_cell_length_c 8.790
_cell_angle_alpha 90.00
_cell_angle_beta 90.00
_cell_angle_gamma 90.00
_space_group_name_H-M_alt 'F -4 3 m'
_space_group_IT_number 216
_space_group_name_Hall 'F -4 2 3'
loop_
_atom_site_label
_atom_site_type_symbol
_atom_site_fract_x
_atom_site_fract_y
_atom_site_fract_z
Y1 Y 0.000 0.000 0.000
Y2 Y 0.125 0.125 0.625
Co1 Co 0.250 0.250 0.250


6.
# KSc2Tl PBEsol optimized geometry
# Energy above the lowest structure with this stoichiometry   0.164 eV/atom
data_KSc2Tl
_chemical_formula_sum 'K1 Sc2 Tl1'
_cell_length_a 3.341
_cell_length_b 5.037
_cell_length_c 6.946
_cell_angle_alpha 90.00
_cell_angle_beta 102.34
_cell_angle_gamma 90.00
_space_group_name_H-M_alt 'P 1 2/m 1'
_space_group_IT_number 10
_space_group_name_Hall '-P 2y'
loop_
_atom_site_label
_atom_site_type_symbol
_atom_site_fract_x
_atom_site_fract_y
_atom_site_fract_z
K1 K 0.000 0.000 0.000
Sc1 Sc 0.304 0.500 0.688
Tl1 Tl 0.500 0.000 0.500


7.
# ScTlZn2 PBEsol optimized geometry
# Energy above the lowest structure with this stoichiometry   0.000 eV/atom
data_ScTlZn2
_chemical_formula_sum 'Sc1 Tl1 Zn2'
_cell_length_a 3.125
_cell_length_b 4.443
_cell_length_c 5.518
_cell_angle_alpha 90.00
_cell_angle_beta 90.00
_cell_angle_gamma 90.00
_space_group_name_H-M_alt 'P m m m'
_space_group_IT_number 47
_space_group_name_Hall '-P 2 2'
loop_
_atom_site_label
_atom_site_type_symbol
_atom_site_fract_x
_atom_site_fract_y
_atom_site_fract_z
Sc1 Sc 0.000 0.000 0.000
Tl1 Tl 0.500 0.000 0.500
Zn1 Zn 0.500 0.500 0.220


8.
# KLaSe2N PBEsol optimized geometry
# Raw formation energy   0.39 eV/atom
data_KLaSe2N
_chemical_formula_sum 'K1 La1 Se2 N1'
_cell_length_a 5.461
_cell_length_b 5.461
_cell_length_c 4.498
_cell_angle_alpha 90.00
_cell_angle_beta 90.00
_cell_angle_gamma 90.00
_space_group_name_H-M_alt 'P 4/m m m'
_space_group_IT_number 123
_space_group_name_Hall '-P 4 2'
loop_
_atom_site_label
_atom_site_type_symbol
_atom_site_fract_x
_atom_site_fract_y
_atom_site_fract_z
K1 K 0.000 0.000 0.000
La1 La 0.500 0.500 0.500
Se1 Se 0.000 0.500 0.000
N1 N 0.000 0.000 0.500


9.
# CuPPb PBEsol optimized geometry
# Energy above the lowest structure with this stoichiometry   0.010 eV/atom
data_CuPPb
_chemical_formula_sum 'Cu2 P2 Pb2'
_cell_length_a 3.9326
_cell_length_b 3.9326
_cell_length_c 8.7012
_cell_angle_alpha 90.00
_cell_angle_beta 90.00
_cell_angle_gamma 120.00
_space_group_name_H-M_alt 'P 63/m m c'
_space_group_IT_number 194
_space_group_name_Hall '-P 6c 2c'
loop_
_atom_site_label
_atom_site_type_symbol
_atom_site_fract_x
_atom_site_fract_y
_atom_site_fract_z
Cu1 Cu 0.3333 0.6667 0.2500
P1 P 0.3333 0.6667 0.7500
Pb1 Pb 0.0000 0.0000 0.0000


10.
# Ru3Cl PBEsol optimized geometry
# Raw formation energy   0.37 eV/atom
# Energy above the lowest structure with this stoichiometry   0.000 eV/atom
data_Ru3Cl
_chemical_formula_sum 'Ru9 Cl3'
_cell_length_a 2.7610
_cell_length_b 2.7610
_cell_length_c 24.6927
_cell_angle_alpha 90.00
_cell_angle_beta 90.00
_cell_angle_gamma 120.00
_space_group_name_H-M_alt 'R -3 m'
_space_group_IT_number 166
_space_group_name_Hall '-R 3 2"'
loop_
_atom_site_label
_atom_site_type_symbol
_atom_site_fract_x
_atom_site_fract_y
_atom_site_fract_z
Ru1 Ru 0.0000 0.0000 0.0000
Ru2 Ru 0.0000 0.0000 0.2488
Cl1 Cl 0.0000 0.0000 0.5000


11.
# Li2YNi PBEsol optimized geometry
# Energy above the lowest structure with this stoichiometry   0.000 eV/atom
data_Li2YNi
_chemical_formula_sum 'Li4 Y2 Ni2'
_cell_length_a 10.442
_cell_length_b 3.551
_cell_length_c 4.058
_cell_angle_alpha 90.00
_cell_angle_beta 112.70
_cell_angle_gamma 90.00
_space_group_name_H-M_alt 'C 1 2/m 1'
_space_group_IT_number 12
_space_group_name_Hall '-C 2y'
loop_
_atom_site_label
_atom_site_type_symbol
_atom_site_fract_x
_atom_site_fract_y
_atom_site_fract_z
Li1 Li 0.233 0.000 0.233
Y1 Y 0.000 0.000 0.500
Ni1 Ni 0.000 0.500 0.000


12.
# Be7Zn PBEsol optimized geometry
# Uncorrected energy   -3.548 eV/atom
data_Be7Zn
_chemical_formula_sum 'Be28 Zn4'
_cell_length_a 6.516
_cell_length_b 6.516
_cell_length_c 6.516
_cell_angle_alpha 90.00
_cell_angle_beta 90.00
_cell_angle_gamma 90.00
_space_group_name_H-M_alt 'F m -3 m'
_space_group_IT_number 225
_space_group_name_Hall '-F 4 2 3'
loop_
_atom_site_label
_atom_site_type_symbol
_atom_site_fract_x
_atom_site_fract_y
_atom_site_fract_z
Be1 Be 0.000 0.000 0.000
Be2 Be 0.000 0.250 0.250
Zn1 Zn 0.000 0.000 0.500


Short version: density of states at the Fermi level = 3.99; 5.70; 1.57; 2.84; 55.50; 5.94; 2.51; 1.89; 1.67; 12.65; 2.48; 3.98 states/eV per cell, in the order given.
Short version: theoretical density = 5.01; 12.42; 3.52; 3.89; 4.92; 4.85; 8.24; 4.33; 8.60; 10.35; 3.86; 3.09 g cm⁻³, in the order given.
Short version: total magnetization = 0.39; 0.00; 0.00; 0.00; 6.71; 0.00; 0.00; 2.78; 0.00; 0.00; 0.00; 0.00 μB per cell, in the order given.